1.
Density functional theory data (PBE-GGA) for a relaxed NaAuSe crystal.

```
NaAuSe
1.0
9.937 0.000 0.000
0.000 5.922 0.000
0.000 0.000 5.536
Na Au Se
4 4 4
Direct
0.132 0.250 0.037
0.368 0.750 0.537
0.632 0.250 0.463
0.868 0.750 0.963
0.000 0.000 0.500
0.000 0.500 0.500
0.500 0.000 0.000
0.500 0.500 0.000
0.131 0.750 0.226
0.369 0.250 0.726
0.631 0.750 0.274
0.869 0.250 0.774
```

Computed properties:
Uncorrected formation energy = -645 meV/atom
V = 325.7 Å³/cell
Electronic total energy = -3.339 eV/atom

2.
Density functional theory data (PBE-GGA) for a relaxed Na3AuSe4 crystal.

```
Na3AuSe4
1.0
-2.288 2.987 7.859
2.288 -2.987 7.859
2.288 2.987 -7.859
Na Au Se
3 1 4
Direct
0.000 0.000 0.000
0.306 0.806 0.500
0.694 0.194 0.500
0.500 0.500 0.000
0.113 0.374 0.739
0.364 0.626 0.739
0.636 0.374 0.261
0.887 0.626 0.261
```

Computed properties:
Uncorrected formation energy = -598 meV/atom
V = 214.8 Å³/cell
Electronic total energy = -3.244 eV/atom

3.
Density functional theory data (PBE-GGA) for a relaxed Na2AuSe2 crystal.

```
Na2AuSe2
1.0
6.971 -2.803 0.000
6.971 2.803 0.000
-5.183 0.000 7.969
Na Au Se
4 2 4
Direct
0.049 0.049 0.262
0.310 0.310 0.950
0.690 0.690 0.050
0.951 0.951 0.738
0.353 0.353 0.375
0.647 0.647 0.625
0.170 0.170 0.096
0.482 0.482 0.680
0.518 0.518 0.320
0.830 0.830 0.904
```

Computed properties:
Uncorrected formation energy = -615 meV/atom
V = 311.4 Å³/cell
Electronic total energy = -3.192 eV/atom

4.
Density functional theory data (PBE-GGA) for a relaxed Na3Si2Au4Se2 crystal.

```
Na3Si2Au4Se2
1.0
-2.313 2.313 12.916
2.313 -2.313 12.916
2.313 2.313 -12.916
Na Si Au Se
3 2 4 2
Direct
0.000 0.000 0.000
0.187 0.187 0.000
0.813 0.813 0.000
0.396 0.396 0.000
0.604 0.604 0.000
0.076 0.576 0.500
0.424 0.924 0.500
0.576 0.076 0.500
0.924 0.424 0.500
0.308 0.308 0.000
0.692 0.692 0.000
```

Computed properties:
Uncorrected formation energy = -408 meV/atom
V = 276.3 Å³/cell
Electronic total energy = -3.579 eV/atom

5.
Density functional theory data (PBE-GGA) for a relaxed Na2SiAuSe4 crystal.

```
Na2SiAuSe4
1.0
-3.695 3.695 3.715
3.695 -3.695 3.715
3.695 3.695 -3.715
Na Si Au Se
2 1 1 4
Direct
0.000 0.000 0.000
0.750 0.250 0.500
0.250 0.750 0.500
0.500 0.500 0.000
0.252 0.721 0.133
0.279 0.412 0.531
0.588 0.119 0.867
0.881 0.748 0.469
```

Computed properties:
Uncorrected formation energy = -596 meV/atom
V = 202.9 Å³/cell
Electronic total energy = -3.756 eV/atom

6.
Density functional theory data (PBE-GGA) for a relaxed NaSmAuSe2 crystal.

```
NaSmAuSe2
1.0
6.973 0.000 0.000
0.000 5.003 0.000
-0.887 0.000 7.854
Na Sm Au Se
2 2 2 4
Direct
0.000 0.091 0.250
0.000 0.909 0.750
0.500 0.493 0.750
0.500 0.507 0.250
0.500 0.000 0.000
0.500 0.000 0.500
0.215 0.330 0.975
0.215 0.670 0.475
0.785 0.330 0.525
0.785 0.670 0.025
```

Computed properties:
Uncorrected formation energy = -1019 meV/atom
V = 274.0 Å³/cell
Electronic total energy = -4.276 eV/atom

7.
Density functional theory data (PBE-GGA) for a relaxed NaSnAuSe3 crystal.

```
NaSnAuSe3
1.0
8.422 0.000 0.000
0.000 3.950 0.000
-1.199 0.000 9.240
Na Sn Au Se
2 2 2 6
Direct
0.152 0.250 0.214
0.848 0.750 0.786
0.341 0.750 0.856
0.659 0.250 0.144
0.109 0.250 0.532
0.891 0.750 0.468
0.126 0.250 0.889
0.302 0.750 0.561
0.423 0.750 0.153
0.577 0.250 0.847
0.698 0.250 0.439
0.874 0.750 0.111
```

Computed properties:
Uncorrected formation energy = -448 meV/atom
V = 307.4 Å³/cell
Electronic total energy = -3.623 eV/atom

8.
Density functional theory data (PBE-GGA) for a relaxed NaSrAuSe crystal.

```
NaSrAuSe
1.0
0.000 3.729 3.729
3.729 0.000 3.729
3.729 3.729 0.000
Na Sr Au Se
1 1 1 1
Direct
0.000 0.000 0.000
0.500 0.500 0.500
0.750 0.750 0.750
0.250 0.250 0.250
```

Computed properties:
Uncorrected formation energy = -1024 meV/atom
V = 103.7 Å³/cell
Electronic total energy = -3.465 eV/atom